1.
# PBE TlB2Sb, optimized geometry
data_TlB2Sb
_chemical_formula_sum 'Tl1 B2 Sb1'
_symmetry_space_group_name_H-M 'P 1'
_symmetry_Int_Tables_number 1
_symmetry_space_group_name_Hall 'P 1'
_cell_length_a 4.634
_cell_length_b 4.634
_cell_length_c 4.634
_cell_angle_alpha 60.00
_cell_angle_beta 60.00
_cell_angle_gamma 60.00
loop_
_atom_site_label
_atom_site_type_symbol
_atom_site_fract_x
_atom_site_fract_y
_atom_site_fract_z
Tl1 Tl 0.000 0.000 0.000
B1 B 0.250 0.250 0.250
B2 B 0.750 0.750 0.750
Sb1 Sb 0.500 0.500 0.500
# distance to the lowest polymorph of the same formula: 680.0 meV per atom
# space group: No. 225

***

2.
# PBE Tl2BSb, optimized geometry
data_Tl2BSb
_chemical_formula_sum 'Tl4 B2 Sb2'
_symmetry_space_group_name_H-M 'P 1'
_symmetry_Int_Tables_number 1
_symmetry_space_group_name_Hall 'P 1'
_cell_length_a 7.143
_cell_length_b 7.143
_cell_length_c 7.143
_cell_angle_alpha 127.57
_cell_angle_beta 127.57
_cell_angle_gamma 77.32
loop_
_atom_site_label
_atom_site_type_symbol
_atom_site_fract_x
_atom_site_fract_y
_atom_site_fract_z
Tl1 Tl 0.031 0.625 0.906
Tl2 Tl 0.375 0.281 0.406
Tl3 Tl 0.719 0.125 0.094
Tl4 Tl 0.875 0.969 0.594
B1 B 0.000 0.000 0.000
B2 B 0.750 0.250 0.500
Sb1 Sb 0.250 0.750 0.500
Sb2 Sb 0.500 0.500 0.000
# distance to the lowest polymorph of the same formula: 0.0 meV per atom
# space group: No. 122

***

3.
# PBE Tl2BSb, optimized geometry
data_Tl2BSb
_chemical_formula_sum 'Tl2 B1 Sb1'
_symmetry_space_group_name_H-M 'P 1'
_symmetry_Int_Tables_number 1
_symmetry_space_group_name_Hall 'P 1'
_cell_length_a 5.218
_cell_length_b 5.218
_cell_length_c 5.218
_cell_angle_alpha 60.00
_cell_angle_beta 60.00
_cell_angle_gamma 60.00
loop_
_atom_site_label
_atom_site_type_symbol
_atom_site_fract_x
_atom_site_fract_y
_atom_site_fract_z
Tl1 Tl 0.250 0.250 0.250
Tl2 Tl 0.750 0.750 0.750
B1 B 0.000 0.000 0.000
Sb1 Sb 0.500 0.500 0.500
# distance to the lowest polymorph of the same formula: 269.1 meV per atom
# space group: No. 225

***

4.
# PBE TlBSb3, optimized geometry
data_TlBSb3
_chemical_formula_sum 'Tl1 B1 Sb3'
_symmetry_space_group_name_H-M 'P 1'
_symmetry_Int_Tables_number 1
_symmetry_space_group_name_Hall 'P 1'
_cell_length_a 5.704
_cell_length_b 5.704
_cell_length_c 5.704
_cell_angle_alpha 90.00
_cell_angle_beta 90.00
_cell_angle_gamma 90.00
loop_
_atom_site_label
_atom_site_type_symbol
_atom_site_fract_x
_atom_site_fract_y
_atom_site_fract_z
Tl1 Tl 0.000 0.000 0.000
B1 B 0.500 0.500 0.500
Sb1 Sb 0.000 0.000 0.500
Sb2 Sb 0.000 0.500 0.000
Sb3 Sb 0.500 0.000 0.000
# distance to the lowest polymorph of the same formula: 1186.8 meV per atom
# space group: No. 221

***

E_form (uncorrected) per entry: 1633.8, 780.6, 1049.7, 1831.0 meV per atom